No. 1
{
  "formula": "Nd2Lu2O5",
  "functional": "PBE",
  "state": "relaxed",
  "lattice_angstrom": [[7.666, 0.000, 0.000], [0.000, 4.222, 0.000], [0.000, 0.000, 4.222]],
  "species": ["Lu", "Lu", "Nd", "Nd", "O", "O", "O", "O", "O"],
  "fractional_positions": [[0.232, 0.500, 0.500], [0.768, 0.500, 0.500], [0.000, 0.000, 0.000], [0.500, 0.000, 0.000], [0.245, 0.500, 0.000], [0.755, 0.500, 0.000], [0.245, 0.000, 0.500], [0.755, 0.000, 0.500], [0.500, 0.500, 0.500]],
  "spacegroup": "P4/mmm (123)",
  "vol_a3_per_cell": 136.67,
  "relative_energy_mev_per_atom": 0,
  "dft_energy_ry_per_atom": -0.5665
}

No. 2
{
  "formula": "NdLuO3",
  "functional": "PBE",
  "state": "relaxed",
  "lattice_angstrom": [[2.942, -1.698, -4.690], [-2.942, -1.698, -4.690], [0.000, 3.397, -4.690]],
  "species": ["Lu", "Lu", "Nd", "Nd", "O", "O", "O", "O", "O", "O"],
  "fractional_positions": [[0.000, 0.000, 0.000], [0.500, 0.500, 0.500], [0.250, 0.250, 0.250], [0.750, 0.750, 0.750], [0.750, 0.362, 0.138], [0.638, 0.862, 0.250], [0.138, 0.750, 0.362], [0.862, 0.250, 0.638], [0.362, 0.138, 0.750], [0.250, 0.638, 0.862]],
  "spacegroup": "R-3c (167)",
  "vol_a3_per_cell": 140.58,
  "dft_energy_ry_per_atom": -0.6075
}

No. 3
{
  "formula": "Nd2LuO4",
  "functional": "PBE",
  "state": "relaxed",
  "lattice_angstrom": [[4.879, -4.880, 0.000], [-4.879, 0.000, -4.880], [4.879, 4.880, 0.000]],
  "species": ["Lu", "Lu", "Nd", "Nd", "Nd", "Nd", "O", "O", "O", "O", "O", "O", "O", "O"],
  "fractional_positions": [[0.000, 0.000, 0.000], [0.750, 0.500, 0.250], [0.375, 0.750, 0.125], [0.875, 0.250, 0.625], [0.375, 0.750, 0.625], [0.375, 0.250, 0.625], [0.124, 0.248, 0.372], [0.626, 0.252, 0.374], [0.122, 0.748, 0.374], [0.626, 0.748, 0.374], [0.124, 0.752, 0.876], [0.628, 0.752, 0.876], [0.124, 0.248, 0.876], [0.626, 0.252, 0.878]],
  "spacegroup": "Fd-3m (227)",
  "vol_a3_per_cell": 232.34,
  "dft_energy_ry_per_atom": -0.5851
}

No. 4
{
  "formula": "NdLuO3",
  "functional": "PBE",
  "state": "relaxed",
  "lattice_angstrom": [[-2.905, 5.032, 0.000], [2.905, 5.032, 0.000], [0.000, 3.355, -5.057]],
  "species": ["Lu", "Lu", "Nd", "Nd", "O", "O", "O", "O", "O", "O"],
  "fractional_positions": [[0.853, 0.853, 0.442], [0.147, 0.147, 0.558], [0.634, 0.634, 0.099], [0.366, 0.366, 0.901], [0.549, 0.224, 0.259], [0.224, 0.968, 0.259], [0.968, 0.549, 0.259], [0.032, 0.451, 0.741], [0.776, 0.032, 0.741], [0.451, 0.776, 0.741]],
  "spacegroup": "R-3 (148)",
  "vol_a3_per_cell": 147.88,
  "dft_energy_ry_per_atom": -0.6100
}

No. 5
{
  "formula": "Nd2Tm3LuTe2Os",
  "functional": "PBE",
  "state": "relaxed",
  "lattice_angstrom": [[4.081, 0.000, 0.000], [0.000, 7.258, 4.113], [0.000, -7.258, 4.113]],
  "species": ["Lu", "Nd", "Nd", "Os", "Te", "Te", "Tm", "Tm", "Tm"],
  "fractional_positions": [[0.500, 0.379, 0.379], [0.500, 0.599, 0.000], [0.500, 0.000, 0.599], [0.500, 0.025, 0.025], [0.000, 0.658, 0.334], [0.000, 0.334, 0.658], [0.000, 0.995, 0.235], [0.000, 0.773, 0.773], [0.000, 0.235, 0.995]],
  "spacegroup": "Amm2 (38)",
  "vol_a3_per_cell": 243.68,
  "dft_energy_ry_per_atom": -0.4222
}

No. 6
{
  "formula": "NdTm3Lu2Te2Os",
  "functional": "PBE",
  "state": "relaxed",
  "lattice_angstrom": [[-0.817, -0.921, -3.860], [6.784, -4.576, -0.344], [-6.992, -3.570, 2.331]],
  "species": ["Lu", "Lu", "Nd", "Os", "Te", "Te", "Tm", "Tm", "Tm"],
  "fractional_positions": [[0.000, 0.998, 0.378], [0.000, 0.378, 0.998], [0.000, 0.597, 0.597], [0.000, 0.027, 0.027], [0.500, 0.667, 0.326], [0.500, 0.326, 0.667], [0.500, 0.245, 0.245], [0.500, 0.996, 0.765], [0.500, 0.765, 0.996]],
  "spacegroup": "Amm2 (38)",
  "vol_a3_per_cell": 239.07,
  "dft_energy_ry_per_atom": -0.4183
}

No. 7
{
  "formula": "NdLuPa",
  "functional": "PBE",
  "state": "relaxed",
  "lattice_angstrom": [[-4.043, -0.276, 3.181], [-2.288, 4.316, 1.639], [-4.706, 1.227, -1.702]],
  "species": ["Lu", "Nd", "Pa"],
  "fractional_positions": [[0.750, 0.750, 0.750], [0.000, 0.000, 0.000], [0.250, 0.250, 0.250]],
  "spacegroup": "F-43m (216)",
  "vol_a3_per_cell": 96.71,
  "ef_kj_per_mol_atoms": 106,
  "dft_energy_ry_per_atom": -0.3795
}

No. 8
{
  "formula": "NdLuSb2Pt2",
  "functional": "PBE",
  "state": "relaxed",
  "lattice_angstrom": [[9.405, 0.000, 0.000], [0.000, 4.687, 0.000], [-4.659, 0.000, 13.286]],
  "species": ["Lu", "Lu", "Lu", "Lu", "Nd", "Nd", "Nd", "Nd", "Pt", "Pt", "Pt", "Pt", "Pt", "Pt", "Pt", "Pt", "Sb", "Sb", "Sb", "Sb", "Sb", "Sb", "Sb", "Sb"],
  "fractional_positions": [[0.687, 0.000, 0.376], [0.189, 0.000, 0.377], [0.560, 0.500, 0.623], [0.439, 0.000, 0.873], [0.812, 0.500, 0.126], [0.314, 0.500, 0.126], [0.062, 0.500, 0.624], [0.936, 0.000, 0.873], [0.000, 0.500, 0.000], [0.380, 0.000, 0.260], [0.880, 0.000, 0.260], [0.740, 0.500, 0.496], [0.255, 0.500, 0.497], [0.614, 0.000, 0.744], [0.138, 0.000, 0.754], [0.496, 0.500, 0.991], [0.563, 0.000, 0.125], [0.064, 0.000, 0.129], [0.938, 0.500, 0.377], [0.439, 0.500, 0.377], [0.805, 0.000, 0.622], [0.315, 0.000, 0.622], [0.681, 0.500, 0.870], [0.192, 0.500, 0.875]],
  "spacegroup": "Pm (6)",
  "vol_a3_per_cell": 585.65,
  "dft_energy_ry_per_atom": -0.4500
}

No. 9
{
  "formula": "NdLuSn2Pt4",
  "functional": "PBE",
  "state": "relaxed",
  "lattice_angstrom": [[-2.092, 2.798, 2.960], [-1.181, -4.420, -0.198], [6.331, -1.975, 6.342]],
  "species": ["Lu", "Nd", "Pt", "Pt", "Pt", "Pt", "Sn", "Sn"],
  "fractional_positions": [[0.000, 0.000, 0.000], [0.333, 0.667, 0.500], [0.333, 0.667, 0.154], [0.000, 0.000, 0.330], [0.000, 0.000, 0.670], [0.333, 0.667, 0.846], [0.667, 0.333, 0.244], [0.667, 0.333, 0.756]],
  "spacegroup": "P-6m2 (187)",
  "vol_a3_per_cell": 166.65,
  "dft_energy_ry_per_atom": -0.4531
}

No. 10
{
  "formula": "NdLuRe",
  "functional": "PBE",
  "state": "relaxed",
  "lattice_angstrom": [[-0.004, -1.627, 4.500], [-3.859, -2.237, 1.732], [0.141, -4.708, 0.841]],
  "species": ["Lu", "Nd", "Re"],
  "fractional_positions": [[0.000, 0.000, 0.000], [0.250, 0.250, 0.250], [0.750, 0.750, 0.750]],
  "spacegroup": "F-43m (216)",
  "vol_a3_per_cell": 77.46,
  "ef_kj_per_mol_atoms": 105,
  "relative_energy_mev_per_atom": 0,
  "dft_energy_ry_per_atom": -0.4521
}

No. 11
{
  "formula": "NdLu3S6",
  "functional": "PBE",
  "state": "relaxed",
  "lattice_angstrom": [[10.922, 0.000, 0.000], [0.000, 3.922, 0.000], [-3.639, 0.000, 10.567]],
  "species": ["Lu", "Lu", "Lu", "Lu", "Lu", "Lu", "Nd", "Nd", "S", "S", "S", "S", "S", "S", "S", "S", "S", "S", "S", "S"],
  "fractional_positions": [[0.661, 0.750, 0.088], [0.057, 0.250, 0.167], [0.820, 0.250, 0.499], [0.180, 0.750, 0.501], [0.943, 0.750, 0.833], [0.339, 0.250, 0.912], [0.450, 0.250, 0.304], [0.550, 0.750, 0.696], [0.893, 0.750, 0.057], [0.418, 0.750, 0.092], [0.699, 0.250, 0.249], [0.232, 0.750, 0.271], [0.022, 0.250, 0.388], [0.620, 0.750, 0.464], [0.380, 0.250, 0.536], [0.978, 0.750, 0.612], [0.768, 0.250, 0.729], [0.301, 0.750, 0.751], [0.582, 0.250, 0.908], [0.107, 0.250, 0.943]],
  "spacegroup": "P2_1/m (11)",
  "vol_a3_per_cell": 452.63,
  "dft_energy_ry_per_atom": -0.4695
}

No. 12
{
  "formula": "NdLuSb",
  "functional": "PBE",
  "state": "relaxed",
  "lattice_angstrom": [[0.000, 3.661, 3.661], [3.661, 0.000, 3.661], [3.661, 3.661, 0.000]],
  "species": ["Lu", "Nd", "Sb"],
  "fractional_positions": [[0.000, 0.000, 0.000], [0.250, 0.250, 0.250], [0.750, 0.750, 0.750]],
  "spacegroup": "F-43m (216)",
  "vol_a3_per_cell": 98.13,
  "dft_energy_ry_per_atom": -0.3221
}

No. 13
{
  "formula": "NdLuSc",
  "functional": "PBE",
  "state": "relaxed",
  "lattice_angstrom": [[0.000, 3.720, 3.720], [3.720, 0.000, 3.720], [3.720, 3.720, 0.000]],
  "species": ["Lu", "Nd", "Sc"],
  "fractional_positions": [[0.250, 0.250, 0.250], [0.750, 0.750, 0.750], [0.000, 0.000, 0.000]],
  "spacegroup": "F-43m (216)",
  "vol_a3_per_cell": 102.95,
  "ef_kj_per_mol_atoms": 67,
  "relative_energy_mev_per_atom": 0,
  "dft_energy_ry_per_atom": -0.3318
}

No. 14
{
  "formula": "NdLuSi",
  "functional": "PBE",
  "state": "relaxed",
  "lattice_angstrom": [[-3.295, -2.419, 2.667], [-2.558, 2.345, 3.432], [-4.762, 0.842, -0.655]],
  "species": ["Lu", "Nd", "Si"],
  "fractional_positions": [[0.250, 0.250, 0.250], [0.750, 0.750, 0.750], [0.000, 0.000, 0.000]],
  "spacegroup": "F-43m (216)",
  "vol_a3_per_cell": 82.19,
  "relative_energy_mev_per_atom": 0,
  "dft_energy_ry_per_atom": -0.3915
}

No. 15
{
  "formula": "NdSmLu",
  "functional": "PBE",
  "state": "relaxed",
  "lattice_angstrom": [[-1.270, -4.018, 3.474], [-0.351, 1.027, 5.352], [-4.868, -0.034, 2.473]],
  "species": ["Lu", "Nd", "Sm"],
  "fractional_positions": [[0.250, 0.250, 0.250], [0.750, 0.750, 0.750], [0.000, 0.000, 0.000]],
  "spacegroup": "F-43m (216)",
  "vol_a3_per_cell": 115.15,
  "ef_kj_per_mol_atoms": 71,
  "dft_energy_ry_per_atom": -0.2887
}

No. 16
{
  "formula": "Nd2LuSn7",
  "functional": "PBE",
  "state": "relaxed",
  "lattice_angstrom": [[2.216, -13.464, 0.000], [2.216, 13.464, 0.000], [0.000, 0.000, 4.524]],
  "species": ["Lu", "Nd", "Nd", "Sn", "Sn", "Sn", "Sn", "Sn", "Sn", "Sn"],
  "fractional_positions": [[0.000, 0.000, 0.000], [0.686, 0.314, 0.500], [0.314, 0.686, 0.500], [0.787, 0.213, 0.000], [0.593, 0.407, 0.000], [0.407, 0.593, 0.000], [0.213, 0.787, 0.000], [0.908, 0.092, 0.500], [0.500, 0.500, 0.500], [0.092, 0.908, 0.500]],
  "spacegroup": "Cmmm (65)",
  "vol_a3_per_cell": 269.93,
  "dft_energy_ry_per_atom": -0.3494
}

No. 17
{
  "formula": "NdLuTc",
  "functional": "PBE",
  "state": "relaxed",
  "lattice_angstrom": [[4.213, -0.561, 2.193], [0.436, -3.152, 3.571], [2.517, -4.015, -0.648]],
  "species": ["Lu", "Nd", "Tc"],
  "fractional_positions": [[0.000, 0.000, 0.000], [0.250, 0.250, 0.250], [0.750, 0.750, 0.750]],
  "spacegroup": "F-43m (216)",
  "vol_a3_per_cell": 77.36,
  "ef_kj_per_mol_atoms": 86,
  "relative_energy_mev_per_atom": 0,
  "dft_energy_ry_per_atom": -0.4162
}

No. 18
{
  "formula": "NdLuTlTe3",
  "functional": "PBE",
  "state": "relaxed",
  "lattice_angstrom": [[1.291, 5.992, -5.235], [-3.386, -2.354, 6.926], [10.156, 3.060, 6.006]],
  "species": ["Lu", "Lu", "Nd", "Nd", "Te", "Te", "Te", "Te", "Te", "Te", "Tl", "Tl"],
  "fractional_positions": [[0.449, 0.551, 0.250], [0.551, 0.449, 0.750], [0.000, 0.000, 0.000], [0.000, 0.000, 0.500], [0.356, 0.644, 0.046], [0.070, 0.930, 0.250], [0.356, 0.644, 0.454], [0.644, 0.356, 0.546], [0.930, 0.070, 0.750], [0.644, 0.356, 0.954], [0.752, 0.248, 0.250], [0.248, 0.752, 0.750]],
  "spacegroup": "Cmcm (63)",
  "vol_a3_per_cell": 426.85,
  "relative_energy_mev_per_atom": 0,
  "dft_energy_ry_per_atom": -0.3296
}

No. 19
{
  "formula": "NdLuTlTe3",
  "functional": "PBE",
  "state": "relaxed",
  "lattice_angstrom": [[2.189, -7.673, 0.000], [2.189, 7.673, 0.000], [0.000, 0.000, 12.119]],
  "species": ["Lu", "Lu", "Nd", "Nd", "Te", "Te", "Te", "Te", "Te", "Te", "Tl", "Tl"],
  "fractional_positions": [[0.000, 0.000, 0.000], [0.000, 0.000, 0.500], [0.424, 0.576, 0.250], [0.576, 0.424, 0.750], [0.360, 0.640, 0.015], [0.065, 0.935, 0.250], [0.360, 0.640, 0.485], [0.640, 0.360, 0.515], [0.935, 0.065, 0.750], [0.640, 0.360, 0.985], [0.740, 0.260, 0.250], [0.260, 0.740, 0.750]],
  "spacegroup": "Cmcm (63)",
  "vol_a3_per_cell": 407.05,
  "relative_energy_mev_per_atom": 53,
  "dft_energy_ry_per_atom": -0.3258
}

No. 20
{
  "formula": "NdLuZnTe3",
  "functional": "PBE",
  "state": "relaxed",
  "lattice_angstrom": [[-4.695, 5.186, -3.374], [4.294, -2.057, 6.137], [8.446, 4.863, -4.280]],
  "species": ["Lu", "Lu", "Nd", "Nd", "Te", "Te", "Te", "Te", "Te", "Te", "Zn", "Zn"],
  "fractional_positions": [[0.000, 0.000, 0.000], [0.000, 0.000, 0.500], [0.777, 0.223, 0.250], [0.223, 0.777, 0.750], [0.352, 0.648, 0.042], [0.109, 0.891, 0.250], [0.352, 0.648, 0.458], [0.648, 0.352, 0.542], [0.891, 0.109, 0.750], [0.648, 0.352, 0.958], [0.473, 0.527, 0.250], [0.527, 0.473, 0.750]],
  "spacegroup": "Cmcm (63)",
  "vol_a3_per_cell": 333.86,
  "dft_energy_ry_per_atom": -0.3138
}

No. 21
{
  "formula": "NdLuTh",
  "functional": "PBE",
  "state": "relaxed",
  "lattice_angstrom": [[-3.927, -2.812, 2.371], [-1.564, 1.248, 4.994], [-4.810, 2.265, 0.826]],
  "species": ["Lu", "Nd", "Th"],
  "fractional_positions": [[0.750, 0.750, 0.750], [0.000, 0.000, 0.000], [0.250, 0.250, 0.250]],
  "spacegroup": "F-43m (216)",
  "vol_a3_per_cell": 110.12,
  "ef_kj_per_mol_atoms": 81,
  "relative_energy_mev_per_atom": 0,
  "dft_energy_ry_per_atom": -0.3473
}

No. 22
{
  "formula": "Nd2Lu2Tl",
  "functional": "PBE",
  "state": "relaxed",
  "lattice_angstrom": [[0.000, 6.436, 10.888], [2.343, 0.000, 10.888], [2.343, 6.436, 0.000]],
  "species": ["Lu", "Lu", "Lu", "Lu", "Nd", "Nd", "Nd", "Nd", "Tl", "Tl"],
  "fractional_positions": [[0.341, 0.659, 0.341], [0.591, 0.909, 0.591], [0.659, 0.341, 0.659], [0.909, 0.591, 0.909], [0.125, 0.125, 0.125], [0.625, 0.125, 0.125], [0.125, 0.625, 0.125], [0.125, 0.125, 0.625], [0.000, 0.000, 0.000], [0.250, 0.250, 0.250]],
  "spacegroup": "Fddd (70)",
  "vol_a3_per_cell": 328.40,
  "dft_energy_ry_per_atom": -0.2955
}

No. 23
{
  "formula": "NdTmLu",
  "functional": "PBE",
  "state": "relaxed",
  "lattice_angstrom": [[0.000, 3.817, 3.817], [3.817, 0.000, 3.817], [3.817, 3.817, 0.000]],
  "species": ["Lu", "Nd", "Tm"],
  "fractional_positions": [[0.000, 0.000, 0.000], [0.250, 0.250, 0.250], [0.750, 0.750, 0.750]],
  "spacegroup": "F-43m (216)",
  "vol_a3_per_cell": 111.25,
  "ef_kj_per_mol_atoms": 69,
  "relative_energy_mev_per_atom": 0,
  "dft_energy_ry_per_atom": -0.2849
}

No. 24
{
  "formula": "NdLuU",
  "functional": "PBE",
  "state": "relaxed",
  "lattice_angstrom": [[0.000, 3.663, 3.663], [3.663, 0.000, 3.663], [3.663, 3.663, 0.000]],
  "species": ["Lu", "Nd", "U"],
  "fractional_positions": [[0.000, 0.000, 0.000], [0.250, 0.250, 0.250], [0.500, 0.500, 0.500]],
  "spacegroup": "F-43m (216)",
  "vol_a3_per_cell": 98.33,
  "ef_kj_per_mol_atoms": 122,
  "relative_energy_mev_per_atom": 0,
  "dft_energy_ry_per_atom": -0.4110
}